No. 1
This record from Alexandria via LeMat-Bulk describes a relaxed structure of ZrCu2Os. The functional is GGA-PBE.

The structure in CIF format:
```
data_ZrCu2Os
_chemical_formula_sum 'Zr2 Cu4 Os2'
_space_group_name_H-M_alt 'P 1'
_space_group_IT_number 1
_space_group_name_Hall 'P 1'
_cell_length_a 3.7550
_cell_length_b 3.7550
_cell_length_c 9.8061
_cell_angle_alpha 78.96
_cell_angle_beta 78.96
_cell_angle_gamma 90.00
loop_
_atom_site_label
_atom_site_type_symbol
_atom_site_fract_x
_atom_site_fract_y
_atom_site_fract_z
_atom_site_occupancy
Os1 Os 0.0000 0.0000 0.0000 1
Os2 Os 0.7500 0.2500 0.5000 1
Cu1 Cu 0.6662 0.1250 0.2500 1
Cu2 Cu 0.0838 0.6250 0.2500 1
Cu3 Cu 0.3750 0.3338 0.7500 1
Cu4 Cu 0.8750 0.9162 0.7500 1
Zr1 Zr 0.5000 0.5000 0.0000 1
Zr2 Zr 0.2500 0.7500 0.5000 1
```

Output
Symmetry: I-42d
E_form in eV/atom: 0.3212
Raw total energy in eV per atom: -6.6713
Volume in Å³/cell: 133


No. 2
This record from Alexandria via LeMat-Bulk describes a relaxed structure of ZrCuOs. The functional is GGA-PBE.

The structure in CIF format:
```
data_ZrCuOs
_chemical_formula_sum 'Zr1 Cu1 Os1'
_space_group_name_H-M_alt 'P 1'
_space_group_IT_number 1
_space_group_name_Hall 'P 1'
_cell_length_a 4.5234
_cell_length_b 4.5234
_cell_length_c 2.7298
_cell_angle_alpha 90.00
_cell_angle_beta 90.00
_cell_angle_gamma 120.00
loop_
_atom_site_label
_atom_site_type_symbol
_atom_site_fract_x
_atom_site_fract_y
_atom_site_fract_z
_atom_site_occupancy
Cu1 Cu 0.0000 0.0000 0.0443 1
Os1 Os 0.6667 0.3333 0.3057 1
Zr1 Zr 0.3333 0.6667 0.6500 1
```

Output
Symmetry: P3m1
E_form in eV/atom: -0.0018
Raw total energy in eV per atom: -7.9598
Volume in Å³/cell: 48


No. 3
This record from Alexandria via LeMat-Bulk describes a relaxed structure of Zr2CuOs. The functional is GGA-PBE.

The structure in CIF format:
```
data_Zr2CuOs
_chemical_formula_sum 'Zr2 Cu1 Os1'
_space_group_name_H-M_alt 'P 1'
_space_group_IT_number 1
_space_group_name_Hall 'P 1'
_cell_length_a 4.5871
_cell_length_b 4.5871
_cell_length_c 4.5871
_cell_angle_alpha 60.00
_cell_angle_beta 60.00
_cell_angle_gamma 60.00
loop_
_atom_site_label
_atom_site_type_symbol
_atom_site_fract_x
_atom_site_fract_y
_atom_site_fract_z
_atom_site_occupancy
Cu1 Cu 0.5000 0.5000 0.5000 1
Os1 Os 0.7500 0.7500 0.7500 1
Zr1 Zr 0.0000 0.0000 0.0000 1
Zr2 Zr 0.2500 0.2500 0.2500 1
```

Output
Symmetry: F-43m
E_form in eV/atom: -0.0202
Raw total energy in eV per atom: -8.1257
Volume in Å³/cell: 68


No. 4
This record from Alexandria via LeMat-Bulk describes a relaxed structure of ZrCuOs. The functional is GGA-PBE.

The structure in CIF format:
```
data_ZrCuOs
_chemical_formula_sum 'Zr1 Cu1 Os1'
_space_group_name_H-M_alt 'P 1'
_space_group_IT_number 1
_space_group_name_Hall 'P 1'
_cell_length_a 4.9441
_cell_length_b 4.9441
_cell_length_c 3.3517
_cell_angle_alpha 70.19
_cell_angle_beta 70.19
_cell_angle_gamma 39.63
loop_
_atom_site_label
_atom_site_type_symbol
_atom_site_fract_x
_atom_site_fract_y
_atom_site_fract_z
_atom_site_occupancy
Cu1 Cu 0.0074 0.0074 0.9926 1
Os1 Os 0.6631 0.6631 0.3369 1
Zr1 Zr 0.3295 0.3295 0.6705 1
```

Output
Symmetry: I4mm
E_form in eV/atom: -0.0683
Raw total energy in eV per atom: -8.0263
Volume in Å³/cell: 49


No. 5
This record from Alexandria via LeMat-Bulk describes a relaxed structure of ZrCu2Os. The functional is GGA-PBE.

The structure in CIF format:
```
data_ZrCu2Os
_chemical_formula_sum 'Zr1 Cu2 Os1'
_space_group_name_H-M_alt 'P 1'
_space_group_IT_number 1
_space_group_name_Hall 'P 1'
_cell_length_a 3.3785
_cell_length_b 3.3785
_cell_length_c 5.3098
_cell_angle_alpha 90.00
_cell_angle_beta 90.00
_cell_angle_gamma 90.00
loop_
_atom_site_label
_atom_site_type_symbol
_atom_site_fract_x
_atom_site_fract_y
_atom_site_fract_z
_atom_site_occupancy
Cu1 Cu 0.0000 0.0000 0.0140 1
Cu2 Cu 0.0000 0.0000 0.4860 1
Os1 Os 0.5000 0.5000 0.2500 1
Zr1 Zr 0.5000 0.5000 0.7500 1
```

Output
Symmetry: P4/mmm
E_form in eV/atom: 0.1339
Raw total energy in eV per atom: -6.8587
Volume in Å³/cell: 61


No. 6
This record from Alexandria via LeMat-Bulk describes a relaxed structure of ZrCu2Os. The functional is GGA-PBE.

The structure in CIF format:
```
data_ZrCu2Os
_chemical_formula_sum 'Zr1 Cu2 Os1'
_space_group_name_H-M_alt 'P 1'
_space_group_IT_number 1
_space_group_name_Hall 'P 1'
_cell_length_a 2.8479
_cell_length_b 2.8479
_cell_length_c 7.4076
_cell_angle_alpha 90.00
_cell_angle_beta 90.00
_cell_angle_gamma 90.00
loop_
_atom_site_label
_atom_site_type_symbol
_atom_site_fract_x
_atom_site_fract_y
_atom_site_fract_z
_atom_site_occupancy
Cu1 Cu 0.0000 0.0000 0.0246 1
Cu2 Cu 0.0000 0.0000 0.4754 1
Os1 Os 0.5000 0.5000 0.2500 1
Zr1 Zr 0.5000 0.5000 0.7500 1
```

Output
Symmetry: P4/mmm
E_form in eV/atom: 0.2819
Raw total energy in eV per atom: -6.7106
Volume in Å³/cell: 60